No. 1
! LiY2Rh (PBE, relaxed); values from VASP
&SYSTEM
  ibrav = 0, nat = 8, ntyp = 3
/
ATOMIC_SPECIES
Y 88.91 Y.upf
Rh 102.91 Rh.upf
Li 6.94 Li.upf
CELL_PARAMETERS angstrom
7.755 0.000 0.000
0.000 7.755 0.000
3.878 3.878 3.246
ATOMIC_POSITIONS angstrom
Y 6.065 1.939 0.811
Y 1.690 5.816 0.811
Y 5.816 5.568 2.434
Y 9.694 9.943 2.434
Rh 0.000 0.000 0.000
Rh 7.755 3.878 1.623
Li 3.878 3.878 0.000
Li 3.878 7.755 1.623
! ΔH_f (0 K) ... -0.103 eV per atom
! Space-group type ... No. 122
! V ... 97.6 Å³/f.u.
! E_tot ... -5.65 eV/atom

No. 2
! KRu2 (PBE, relaxed); values from VASP
&SYSTEM
  ibrav = 0, nat = 6, ntyp = 2
/
ATOMIC_SPECIES
K 39.10 K.upf
Ru 101.07 Ru.upf
CELL_PARAMETERS angstrom
-2.763 5.466 5.790
-0.716 8.396 0.164
-1.261 -8.070 -2.079
ATOMIC_POSITIONS angstrom
K -2.393 9.533 4.094
K -1.086 4.329 1.859
Ru -1.192 -0.771 1.099
Ru -3.470 4.507 4.351
Ru -1.270 1.285 -0.476
Ru -2.832 -1.833 2.612
! ΔH_f (0 K) ... 0.695 eV per atom
! Space-group type ... No. 71
! V ... 65.0 Å³/f.u.
! E_tot ... -5.85 eV/atom

No. 3
! Ce3AsH (PBE, relaxed); values from VASP
&SYSTEM
  ibrav = 0, nat = 10, ntyp = 3
/
ATOMIC_SPECIES
Ce 140.12 Ce.upf
As 74.92 As.upf
H 1.01 H.upf
CELL_PARAMETERS angstrom
3.753 0.438 -0.624
-1.092 7.756 1.373
-1.694 -1.806 7.449
ATOMIC_POSITIONS angstrom
Ce -0.390 1.672 5.229
Ce 2.647 2.594 0.123
Ce -1.526 6.859 3.746
Ce 1.358 4.717 2.969
Ce 2.493 -0.470 4.453
Ce -1.680 3.794 8.075
As -0.216 4.750 5.573
As 1.183 1.638 2.625
H -1.206 1.689 7.331
H 2.173 4.699 0.867
! Space-group type ... No. 2
! V ... 109.6 Å³/f.u.
! E_tot ... -5.74 eV/atom
! Offset from the most stable computed form ... 0 meV per atom

No. 4
! Pr3DyAl8 (PBE, relaxed); values from VASP
&SYSTEM
  ibrav = 0, nat = 12, ntyp = 3
/
ATOMIC_SPECIES
Pr 140.91 Pr.upf
Dy 162.50 Dy.upf
Al 26.98 Al.upf
CELL_PARAMETERS angstrom
-2.727 -4.872 -1.007
0.910 -4.501 3.331
-7.527 -0.401 6.347
ATOMIC_POSITIONS angstrom
Pr -7.273 -3.864 6.429
Pr -1.820 -9.372 2.327
Pr -4.671 -4.887 4.335
Dy -4.404 -8.355 4.407
Al -3.590 -6.602 1.722
Al -5.496 -6.638 7.026
Al -2.228 -4.170 2.225
Al -6.856 -9.067 6.524
Al -3.627 -1.936 3.207
Al -8.312 -6.817 7.553
Al -1.774 -6.417 3.888
Al -7.310 -6.823 4.863
! ΔH_f (0 K) ... -0.490 eV per atom
! Space-group type ... No. 160
! V ... 259.0 Å³/f.u.
! E_tot ... -4.56 eV/atom
! Offset from the most stable computed form ... 0 meV per atom

DOS at the Fermi energy per entry: 0.194, 1.091, 2.245, 0.838 states/eV per atom